Material: HoScAu
Method: DFT, GGA-PBE
State: optimized geometry

Unit cell a=4.6712 b=4.6712 c=4.6712 alpha=60.00 beta=60.00 gamma=60.00
With the nearest neighbours (Å) after each atom.
Sites, in units of the cell vectors:
Ho 0.0000 0.0000 0.0000  4 Sc 2.86
Sc 0.7500 0.7500 0.7500  4 Au 2.86, 4 Ho 2.86
Au 0.5000 0.5000 0.5000  4 Sc 2.86

Results
- Formation enthalpy at 0 K: 0.08 eV per atom
- Electronic total energy: -4.6439 eV per atom